1.
DFT (PBE) results for a relaxed structure of Ta2Ge2As.

Properties
Magnetic moment, μB/f.u.: 0.00
Total energy, eV per atom: -7.62
Calculated volume, Å³ per atom: 17.71
ΔE_f, eV per atom: -0.107

a b c (Å): 7.0202 7.0202 3.5929
angles (deg): 90.00 90.00 90.00
Last column: nearest neighbours and their distance in Å.
Atoms (fractional coordinates):
Ta: 0.3418 0.8418 0.0000  2 As 2.64, 6 Ge 2.71-2.75
Ta: 0.1582 0.3418 0.0000  2 As 2.64, 6 Ge 2.71-2.75
Ta: 0.8418 0.6582 0.0000  2 As 2.64, 6 Ge 2.71-2.75
Ta: 0.6582 0.1582 0.0000  2 As 2.64, 6 Ge 2.71-2.75
Ge: 0.6376 0.8624 0.5000  6 Ta 2.71-2.75, 1 Ge 2.73
Ge: 0.3624 0.1376 0.5000  6 Ta 2.71-2.75, 1 Ge 2.73
Ge: 0.1376 0.6376 0.5000  6 Ta 2.71-2.75, 1 Ge 2.73
Ge: 0.8624 0.3624 0.5000  6 Ta 2.71-2.75, 1 Ge 2.73
As: 0.0000 0.0000 0.0000  4 Ta 2.64
As: 0.5000 0.5000 0.0000  4 Ta 2.64

---

2.
DFT (PBE) results for a relaxed structure of PrThNiIr.

Properties
Magnetic moment, μB/f.u.: 0.00
Total energy, eV per atom: -7.34
Calculated volume, Å³ per atom: 23.12
ΔE_f, eV per atom: -0.634
Relative energy among the computed polymorphs, eV per formula unit: 0.00

a b c (Å): 3.8831 4.2144 5.9757
angles (deg): 90.00 108.96 90.00
Last column: nearest neighbours and their distance in Å.
Atoms (fractional coordinates):
Pr: 0.1395 0.0000 0.2791  4 Ni 2.94, 3 Ir 3.06-3.24
Th: 0.8693 0.5000 0.7385  4 Ir 2.90, 2 Ni 3.08
Ir: 0.4101 0.0000 0.8202  2 Ni 2.86, 4 Th 2.90, 1 Pr 3.06
Ni: 0.5811 0.5000 0.1622  2 Ir 2.86, 4 Pr 2.94, 2 Th 3.08

---

3.
DFT (PBE) results for a relaxed structure of PuZnS.

Properties
Magnetic moment, μB/f.u.: 5.33
Total energy, eV per atom: -7.51
E_form (uncorrected), eV per atom: -0.936
Calculated volume, Å³ per atom: 22.23

a b c (Å): 4.5656 4.5656 7.8456
angles (deg): 73.08 73.08 60.00
Last column: nearest neighbours and their distance in Å.
Atoms (fractional coordinates):
Zn: 0.8327 0.8327 0.5019  1 S 2.60, 3 Zn 2.64
Zn: 0.1673 0.1673 0.4981  1 S 2.60, 3 Zn 2.64
S: 0.7154 0.7154 0.8537  1 Zn 2.60, 4 Pu 2.70-2.77
S: 0.2846 0.2846 0.1463  1 Zn 2.60, 4 Pu 2.70-2.77
Pu: 0.5906 0.5906 0.2282  4 S 2.70-2.77
Pu: 0.4094 0.4094 0.7718  4 S 2.70-2.77

---

4.
DFT (PBE) results for a relaxed structure of KVAs3.

Properties
Magnetic moment, μB/f.u.: 0.00
Total energy, eV per atom: -4.95
Calculated volume, Å³ per atom: 23.09
ΔE_f, eV per atom: -0.115
Relative energy among the computed polymorphs, eV per formula unit: 0.00

a b c (Å): 4.8695 4.8695 4.8695
angles (deg): 90.00 90.00 90.00
Last column: nearest neighbours and their distance in Å.
Atoms (fractional coordinates):
As: 0.5000 0.0000 0.0000  2 V 2.43
As: 0.0000 0.5000 0.0000  2 V 2.43
As: 0.0000 0.0000 0.5000  2 V 2.43
K: 0.5000 0.5000 0.5000  12 As 3.44
V: 0.0000 0.0000 0.0000  6 As 2.43